1) Density functional theory data (PBE) for CaPu3Rh3 after structural relaxation.

```
CaPu3Rh3
1.0
7.457 0.000 0.000
0.000 7.457 0.000
0.000 0.000 7.457
Pu Ca Rh
6 2 6
Direct
0.500 0.000 0.250 Pu
0.250 0.500 0.000 Pu
0.000 0.750 0.500 Pu
0.500 0.000 0.750 Pu
0.000 0.250 0.500 Pu
0.750 0.500 0.000 Pu
0.000 0.000 0.000 Ca
0.500 0.500 0.500 Ca
0.500 0.750 0.000 Rh
0.000 0.500 0.750 Rh
0.750 0.000 0.500 Rh
0.000 0.500 0.250 Rh
0.250 0.000 0.500 Rh
0.500 0.250 0.000 Rh
```

---

2) Density functional theory data (PBE) for CaPu3Rh3 after structural relaxation.

```
CaPu3Rh3
1.0
6.490 0.000 0.000
3.245 5.621 0.000
3.245 1.874 7.230
Rh Ca Pu
6 2 6
Direct
0.306 0.050 0.830 Rh
0.050 0.813 0.830 Rh
0.187 0.694 0.170 Rh
0.694 0.950 0.170 Rh
0.813 0.306 0.830 Rh
0.950 0.187 0.170 Rh
0.334 0.334 0.997 Ca
0.666 0.666 0.003 Ca
0.804 0.146 0.580 Pu
0.196 0.854 0.420 Pu
0.470 0.804 0.580 Pu
0.854 0.530 0.420 Pu
0.530 0.196 0.420 Pu
0.146 0.470 0.580 Pu
```

---

Q: What are the energies relative to the best structure? A: 1) 0.240; 2) 0.000, in eV/atom.

---

1) Density functional theory data (PBE) for CaPu2Rh after structural relaxation.

```
CaPu2Rh
1.0
-0.024 -1.111 -3.696
-3.135 -1.688 -1.487
-4.398 7.492 -4.239
Rh Pu Ca
1 2 1
Direct
0.000 0.000 0.000 Rh
0.275 0.275 0.174 Pu
0.725 0.725 0.826 Pu
0.500 0.500 0.500 Ca
```

---

2) Density functional theory data (PBE) for CaPu2Rh after structural relaxation.

```
CaPu2Rh
1.0
-1.353 1.790 2.626
0.343 -2.755 2.055
8.289 2.796 2.363
Ca Rh Pu
1 1 2
Direct
0.500 0.500 0.500 Ca
0.500 0.500 0.000 Rh
0.000 0.000 0.182 Pu
0.000 0.000 0.818 Pu
```

---

Q: What are the energies relative to the best structure? A: 1) 0.047; 2) 0.000, in eV/atom.

---

1) Density functional theory data (PBE) for CaPuRh after structural relaxation.

```
CaPuRh
1.0
4.557 -0.008 0.005
0.011 5.970 0.115
-0.009 -1.843 5.813
Pu Ca Rh
2 2 2
Direct
0.252 0.030 0.174 Pu
0.752 0.977 0.829 Pu
0.252 0.430 0.718 Ca
0.752 0.577 0.286 Ca
0.252 0.882 0.584 Rh
0.752 0.126 0.420 Rh
```

---

2) Density functional theory data (PBE) for CaPuRh after structural relaxation.

```
CaPuRh
1.0
4.833 0.000 0.000
2.416 4.185 0.000
2.416 1.395 3.946
Rh Ca Pu
1 1 1
Direct
0.250 0.250 0.250 Rh
0.500 0.500 0.500 Ca
0.000 0.000 0.000 Pu
```

---

Q: What are the energies relative to the best structure? A: 1) 0.000; 2) 0.332, in eV/atom.

---

1) Density functional theory data (PBE) for CaPu2Rh2 after structural relaxation.

```
CaPu2Rh2
1.0
4.700 0.000 1.419
0.788 8.619 5.881
-0.624 8.332 10.556
Rh Ca Pu
4 2 4
Direct
0.361 0.804 0.973 Rh
0.138 0.696 0.527 Rh
0.639 0.196 0.027 Rh
0.862 0.304 0.473 Rh
0.250 0.750 0.250 Ca
0.750 0.250 0.750 Ca
0.442 0.982 0.634 Pu
0.058 0.518 0.866 Pu
0.942 0.482 0.134 Pu
0.558 0.018 0.366 Pu
```

---

2) Density functional theory data (PBE) for CaPu2Rh2 after structural relaxation.

```
CaPu2Rh2
1.0
5.903 0.276 0.187
3.449 6.852 0.534
3.313 0.929 5.461
Rh Pu Ca
4 4 2
Direct
0.333 0.852 0.917 Rh
0.668 0.147 0.602 Rh
0.667 0.148 0.083 Rh
0.332 0.853 0.398 Rh
0.665 0.508 0.164 Pu
0.123 0.194 0.092 Pu
0.335 0.492 0.836 Pu
0.877 0.806 0.908 Pu
0.138 0.235 0.565 Ca
0.862 0.765 0.435 Ca
```

---

Q: What are the energies relative to the best structure? A: 1) 0.000; 2) 0.066, in eV/atom.